# 1
First-principles (PBE) data for a relaxed structure of Cs4Pm3USe8, as listed in Alexandria.

Properties
- Symmetry: No. 166
- Energy relative to the elements, uncorrected: -1.59 eV/atom

Lattice parameters (Å, degrees): 9.7932 9.7932 9.7932 52.86 52.86 52.86
Fractional coordinates of all 16 atoms:
Cs1 0.0000 0.0000 0.0000
Cs2 0.0000 0.5000 0.5000
Cs3 0.5000 0.0000 0.5000
Cs4 0.5000 0.5000 0.0000
Pm1 0.0000 0.0000 0.5000
Pm2 0.0000 0.5000 0.0000
Pm3 0.5000 0.0000 0.0000
U1 0.5000 0.5000 0.5000
Se1 0.2300 0.2300 0.2300
Se2 0.2338 0.7272 0.7272
Se3 0.2728 0.2728 0.7662
Se4 0.2728 0.7662 0.2728
Se5 0.7272 0.2338 0.7272
Se6 0.7272 0.7272 0.2338
Se7 0.7662 0.2728 0.2728
Se8 0.7700 0.7700 0.7700



# 2
First-principles (PBE) data for a relaxed structure of Li2PuSnO6, as listed in Alexandria.

Properties
- Symmetry: No. 99
- Energy relative to the elements, uncorrected: -1.98 eV/atom

Lattice parameters (Å, degrees): 5.8927 5.8927 4.0763 90.00 90.00 90.00
Fractional coordinates of all 10 atoms:
Li1 0.0000 0.5000 0.0000
Li2 0.5000 0.0000 0.0000
Pu1 0.0000 0.0000 0.8473
Sn1 0.5000 0.5000 0.8332
O1 0.0000 0.0000 0.3501
O2 0.2469 0.2469 0.8714
O3 0.2469 0.7531 0.8714
O4 0.5000 0.5000 0.3406
O5 0.7531 0.2469 0.8714
O6 0.7531 0.7531 0.8714



# 3
First-principles (PBE) data for a relaxed structure of LaTmGe, as listed in Alexandria.

Properties
- Symmetry: No. 11
- Calculated formation energy: -0.613 eV/atom

Lattice parameters (Å, degrees): 4.4658 4.5105 8.2292 90.00 93.71 90.00
Fractional coordinates of all 6 atoms:
La1 0.2144 0.2500 0.1399
La2 0.7856 0.7500 0.8601
Tm1 0.2520 0.7500 0.5108
Tm2 0.7480 0.2500 0.4892
Ge1 0.2910 0.2500 0.7512
Ge2 0.7090 0.7500 0.2488



# 4
First-principles (PBE) data for a relaxed structure of TbCeTmZn, as listed in Alexandria.

Properties
- Symmetry: No. 216
- Calculated formation energy: 0.051 eV/atom

Lattice parameters (Å, degrees): 5.3131 5.3131 5.3131 60.00 60.00 60.00
Fractional coordinates of all 4 atoms:
Tb1 0.0000 0.0000 0.0000
Ce1 0.5000 0.5000 0.5000
Tm1 0.7500 0.7500 0.7500
Zn1 0.2500 0.2500 0.2500



# 5
First-principles (PBE) data for a relaxed structure of KCr2Cl, as listed in Alexandria.

Properties
- Symmetry: No. 65
- Energy relative to the elements, uncorrected: 0.69 eV/atom
- ΔE to the lowest computed polymorph: 685 meV/atom

Lattice parameters (Å, degrees): 3.4767 3.4767 10.1508 90.00 90.00 120.67
Fractional coordinates of all 4 atoms:
K1 0.0000 0.0000 0.0000
Cr1 0.5000 0.5000 0.3047
Cr2 0.5000 0.5000 0.6953
Cl1 0.0000 0.0000 0.5000



# 6
First-principles (PBE) data for a relaxed structure of Y2ScSiPd, as listed in Alexandria.

Properties
- Symmetry: No. 123
- Energy relative to the elements, uncorrected: 0.62 eV/atom

Lattice parameters (Å, degrees): 5.4497 5.4497 4.5936 90.00 90.00 90.00
Fractional coordinates of all 5 atoms:
Y1 0.0000 0.5000 0.0000
Y2 0.5000 0.0000 0.0000
Sc1 0.0000 0.0000 0.0000
Si1 0.5000 0.5000 0.5000
Pd1 0.0000 0.0000 0.5000



# 7
First-principles (PBE) data for a relaxed structure of Rb2In2Hg15, as listed in Alexandria.

Properties
- Symmetry: No. 166
- Calculated formation energy: -0.096 eV/atom

Lattice parameters (Å, degrees): 8.4673 8.4673 8.4673 77.26 77.26 77.26
Fractional coordinates of all 19 atoms:
Rb1 0.1756 0.1756 0.1756
Rb2 0.8244 0.8244 0.8244
In1 0.4048 0.4048 0.4048
In2 0.5952 0.5952 0.5952
Hg1 0.0000 0.5000 0.5000
Hg2 0.1224 0.1224 0.6553
Hg3 0.1224 0.6553 0.1224
Hg4 0.2062 0.5000 0.7938
Hg5 0.2062 0.7938 0.5000
Hg6 0.3447 0.8776 0.8776
Hg7 0.5000 0.0000 0.5000
Hg8 0.5000 0.2062 0.7938
Hg9 0.5000 0.5000 0.0000
Hg10 0.5000 0.7938 0.2062
Hg11 0.6553 0.1224 0.1224
Hg12 0.7938 0.2062 0.5000
Hg13 0.7938 0.5000 0.2062
Hg14 0.8776 0.3447 0.8776
Hg15 0.8776 0.8776 0.3447



# 8
First-principles (PBE) data for a relaxed structure of KPmTiS4, as listed in Alexandria.

Properties
- Symmetry: No. 11
- Energy relative to the elements, uncorrected: -1.61 eV/atom

Lattice parameters (Å, degrees): 6.7565 6.7376 8.8382 90.00 107.55 90.00
Fractional coordinates of all 14 atoms:
K1 0.2260 0.2500 0.4357
K2 0.7740 0.7500 0.5643
Pm1 0.2819 0.2500 0.9500
Pm2 0.7181 0.7500 0.0500
Ti1 0.2675 0.7500 0.1758
Ti2 0.7325 0.2500 0.8242
S1 0.0616 0.7500 0.3329
S2 0.0664 0.7500 0.9244
S3 0.4993 0.0046 0.2116
S4 0.4993 0.4954 0.2116
S5 0.5007 0.5046 0.7884
S6 0.5007 0.9954 0.7884
S7 0.9336 0.2500 0.0756
S8 0.9384 0.2500 0.6671



# 9
First-principles (PBE) data for a relaxed structure of Ac2PuO6F, as listed in Alexandria.

Properties
- Symmetry: No. 99
- Energy relative to the elements, uncorrected: -2.48 eV/atom

Lattice parameters (Å, degrees): 5.8806 5.8806 4.9194 90.00 90.00 90.00
Fractional coordinates of all 10 atoms:
Ac1 0.0000 0.5000 0.0000
Ac2 0.5000 0.0000 0.0000
Pu1 0.0000 0.0000 0.6171
O1 0.0000 0.0000 0.1338
O2 0.2374 0.2374 0.7122
O3 0.2374 0.7626 0.7122
O4 0.5000 0.5000 0.0804
O5 0.7626 0.2374 0.7122
O6 0.7626 0.7626 0.7122
F1 0.5000 0.5000 0.3831



# 10
First-principles (PBE) data for a relaxed structure of U2AsRh, as listed in Alexandria.

Properties
- Symmetry: No. 166
- Calculated formation energy: 0.050 eV/atom

Lattice parameters (Å, degrees): 10.3323 10.3323 10.3323 16.68 16.68 16.68
Fractional coordinates of all 4 atoms:
U1 0.0836 0.0836 0.0836
U2 0.9164 0.9164 0.9164
As1 0.5000 0.5000 0.5000
Rh1 0.0000 0.0000 0.0000